1.
DFT (GGA-PBE) results for a relaxed Sc4BeTe crystal.

Calculated values
E_form (uncorrected) in eV/atom: 0.360
SG: F-43m (216)
DOS at the Fermi energy in states/eV per cell: 8.41
M_tot in μB/f.u.: 0.01
Crystal system: cubic
Uncorrected energy in eV per atom: -5.006

abc: 5.783 5.783 5.783
angles: 60.00 60.00 60.00
Fractional coordinates of all 6 atoms:
Sc1 0.376 0.376 0.376
Sc2 0.376 0.376 0.873
Sc3 0.376 0.873 0.376
Sc4 0.873 0.376 0.376
Be1 0.750 0.750 0.750
Te1 0.000 0.000 0.000

=====

2.
DFT (GGA-PBE) results for a relaxed ScBeTe2 crystal.

Calculated values
E_form (uncorrected) in eV/atom: -0.360
SG: R-3m (166)
DOS at the Fermi energy in states/eV per cell: 13.61
M_tot in μB/f.u.: 0.00
Crystal system: trigonal
Uncorrected energy in eV per atom: -4.446

abc: 4.222 4.222 23.494
angles: 90.00 90.00 120.00
Fractional coordinates of all 12 atoms:
Sc1 0.000 0.000 0.000
Sc2 0.333 0.667 0.667
Sc3 0.667 0.333 0.333
Be1 0.000 0.000 0.500
Be2 0.333 0.667 0.167
Be3 0.667 0.333 0.833
Te1 0.000 0.000 0.404
Te2 0.000 0.000 0.596
Te3 0.333 0.667 0.070
Te4 0.333 0.667 0.263
Te5 0.667 0.333 0.737
Te6 0.667 0.333 0.930

=====

3.
DFT (GGA-PBE) results for a relaxed ScBeTe2 crystal.

Calculated values
E_form (uncorrected) in eV/atom: -0.278
SG: Immm (71)
DOS at the Fermi energy in states/eV per cell: 5.62
M_tot in μB/f.u.: 0.00
Crystal system: orthorhombic
Uncorrected energy in eV per atom: -4.363

abc: 3.777 5.418 8.534
angles: 90.00 90.00 90.00
Fractional coordinates of all 8 atoms:
Sc1 0.000 0.000 0.000
Sc2 0.500 0.500 0.500
Be1 0.000 0.000 0.500
Be2 0.500 0.500 0.000
Te1 0.000 0.500 0.197
Te2 0.000 0.500 0.803
Te3 0.500 0.000 0.303
Te4 0.500 0.000 0.697

=====

4.
DFT (GGA-PBE) results for a relaxed ScBeTe crystal.

Calculated values
E_form (uncorrected) in eV/atom: 0.115
SG: F-43m (216)
ΔE to the lowest computed polymorph in eV/atom: 0.235
DOS at the Fermi energy in states/eV per cell: 6.56
M_tot in μB/f.u.: 0.00
Crystal system: cubic
Uncorrected energy in eV per atom: -4.285

abc: 6.269 6.269 6.269
angles: 90.00 90.00 90.00
Fractional coordinates of all 12 atoms:
Sc1 0.000 0.000 0.000
Sc2 0.000 0.500 0.500
Sc3 0.500 0.000 0.500
Sc4 0.500 0.500 0.000
Be1 0.250 0.250 0.250
Be2 0.250 0.750 0.750
Be3 0.750 0.250 0.750
Be4 0.750 0.750 0.250
Te1 0.000 0.000 0.500
Te2 0.000 0.500 0.000
Te3 0.500 0.000 0.000
Te4 0.500 0.500 0.500

=====

5.
DFT (GGA-PBE) results for a relaxed ScBeTe2 crystal.

Calculated values
E_form (uncorrected) in eV/atom: -0.164
SG: Pmmm (47)
DOS at the Fermi energy in states/eV per cell: 1.80
M_tot in μB/f.u.: 0.00
Crystal system: orthorhombic
Uncorrected energy in eV per atom: -4.249

abc: 3.811 4.057 6.095
angles: 90.00 90.00 90.00
Fractional coordinates of all 4 atoms:
Sc1 0.000 0.000 0.000
Be1 0.000 0.500 0.500
Te1 0.500 0.000 0.500
Te2 0.500 0.500 0.000

=====

6.
DFT (GGA-PBE) results for a relaxed ScBeTe2 crystal.

Calculated values
E_form (uncorrected) in eV/atom: -0.468
SG: Imm2 (44)
DOS at the Fermi energy in states/eV per cell: 3.32
M_tot in μB/f.u.: 0.00
Crystal system: orthorhombic
Uncorrected energy in eV per atom: -4.553

abc: 3.712 3.803 15.026
angles: 90.00 90.00 90.00
Fractional coordinates of all 8 atoms:
Sc1 0.000 0.000 0.000
Sc2 0.500 0.500 0.500
Be1 0.000 0.500 0.141
Be2 0.500 0.000 0.641
Te1 0.000 0.000 0.420
Te2 0.000 0.500 0.659
Te3 0.500 0.000 0.159
Te4 0.500 0.500 0.920

=====

What is the E_form (uncorrected) in the fifth record? -0.164 eV/atom